Entry 1:
La8Pd2Pt | PBE-GGA | optimized geometry

The structure in CIF format:
```
data_La8Pd2Pt
_symmetry_space_group_name_H-M 'C 1 m 1'
_symmetry_Int_Tables_number 8
_cell_length_a 8.516
_cell_length_b 13.452
_cell_length_c 6.597
_cell_angle_alpha 90.00
_cell_angle_beta 112.10
_cell_angle_gamma 90.00
loop_
_symmetry_equiv_pos_as_xyz
'x,y,z'
'x,-y,z'
'x+1/2,y+1/2,z'
'x+1/2,-y+1/2,z'
loop_
_atom_site_label
_atom_site_type_symbol
_atom_site_fract_x
_atom_site_fract_y
_atom_site_fract_z
_atom_site_occupancy
La1 La 0.000 0.000 0.000 1
La2 La 0.071 0.366 0.831 1
La3 La 0.120 0.133 0.561 1
La4 La 0.195 0.500 0.377 1
La5 La 0.361 0.199 0.198 1
Pd1 Pd 0.339 0.314 0.680 1
Pt1 Pt 0.332 0.000 0.953 1
```

---

Entry 2:
LaPd9Pt3 | PBE-GGA | optimized geometry

The structure in CIF format:
```
data_LaPd9Pt3
_symmetry_space_group_name_H-M 'C 1 2/m 1'
_symmetry_Int_Tables_number 12
_cell_length_a 5.321
_cell_length_b 12.964
_cell_length_c 6.985
_cell_angle_alpha 90.00
_cell_angle_beta 112.15
_cell_angle_gamma 90.00
loop_
_symmetry_equiv_pos_as_xyz
'x,y,z'
'-x,-y,-z'
'-x,y,-z'
'x,-y,z'
'x+1/2,y+1/2,z'
'-x+1/2,-y+1/2,-z'
'-x+1/2,y+1/2,-z'
'x+1/2,-y+1/2,z'
loop_
_atom_site_label
_atom_site_type_symbol
_atom_site_fract_x
_atom_site_fract_y
_atom_site_fract_z
_atom_site_occupancy
La1 La 0.000 0.000 0.000 1
Pd1 Pd 0.000 0.500 0.500 1
Pd2 Pd 0.111 0.390 0.220 1
Pd3 Pd 0.171 0.174 0.349 1
Pt1 Pt 0.000 0.000 0.500 1
Pt2 Pt 0.250 0.250 0.000 1
```

---

Entry 3:
# PBE-GGA La3PdPt, optimized geometry
data_La3PdPt
_symmetry_space_group_name_H-M 'P m -3 m'
_symmetry_Int_Tables_number 221
_symmetry_space_group_name_Hall '-P 4 2 3'
_cell_length_a 5.630
_cell_length_b 5.630
_cell_length_c 5.630
_cell_angle_alpha 90.00
_cell_angle_beta 90.00
_cell_angle_gamma 90.00
loop_
_atom_site_label
_atom_site_type_symbol
_atom_site_fract_x
_atom_site_fract_y
_atom_site_fract_z
_atom_site_occupancy
La1 La 0.000 0.000 0.500 1
Pd1 Pd 0.500 0.500 0.500 1
Pt1 Pt 0.000 0.000 0.000 1
# - Excess energy over the best structure of this formula in the dataset: 474 meV/atom

---

Entry 4:
# PBE-GGA LaPd3Pt, optimized geometry
data_LaPd3Pt
_symmetry_space_group_name_H-M 'I m m a'
_symmetry_Int_Tables_number 74
_symmetry_space_group_name_Hall '-I 2b 2'
_cell_length_a 5.264
_cell_length_b 7.772
_cell_length_c 9.514
_cell_angle_alpha 90.00
_cell_angle_beta 90.00
_cell_angle_gamma 90.00
loop_
_atom_site_label
_atom_site_type_symbol
_atom_site_fract_x
_atom_site_fract_y
_atom_site_fract_z
_atom_site_occupancy
La1 La 0.000 0.250 0.001 1
Pd1 Pd 0.000 0.250 0.693 1
Pd2 Pd 0.250 0.061 0.250 1
Pt1 Pt 0.000 0.000 0.500 1
# - Excess energy over the best structure of this formula in the dataset: 0 meV/atom

---

Number 1: E -5.495 eV per atom, formation energy -4.6 eV per formula unit, total magnetic moment 0.00 μB per atom. Number 2: E -5.666 eV per atom, formation energy -3.9 eV per formula unit, total magnetic moment 0.00 μB per atom. Number 3: E -5.481 eV per atom, formation energy -1.4 eV per formula unit, total magnetic moment 0.00 μB per atom. Number 4: E -5.927 eV per atom, formation energy -3.1 eV per formula unit, total magnetic moment 0.00 μB per atom.